[1]
{
  "formula": "RbMnRh2",
  "functional": "PBE",
  "state": "optimized geometry",
  "formation_energy_kcal_per_mol_atoms": 33.08,
  "magnetic_moment_mub_per_fu": 0.7,
  "space_group": "Fm-3m, No. 225",
  "dos_ef_per_ev_cell": 60.672,
  "total_energy_ev_per_atom": -4.7757,
  "mass_density_g_cm3": 8.29,
  "de_polymorph_kj_per_mol_atoms": 38.1,
  "cell": [[6.521, 0.000, 0.000], [0.000, 6.521, 0.000], [0.000, 0.000, 6.521]],
  "species": ["Rb", "Rb", "Rb", "Rb", "Mn", "Mn", "Mn", "Mn", "Rh", "Rh", "Rh", "Rh", "Rh", "Rh", "Rh", "Rh"],
  "frac_coords": [[0.000, 0.000, 0.000], [0.000, 0.500, 0.500], [0.500, 0.000, 0.500], [0.500, 0.500, 0.000], [0.000, 0.000, 0.500], [0.000, 0.500, 0.000], [0.500, 0.000, 0.000], [0.500, 0.500, 0.500], [0.250, 0.250, 0.250], [0.250, 0.250, 0.750], [0.250, 0.750, 0.250], [0.250, 0.750, 0.750], [0.750, 0.250, 0.250], [0.750, 0.250, 0.750], [0.750, 0.750, 0.250], [0.750, 0.750, 0.750]]
}

=====

[2]
{
  "formula": "CdTe",
  "functional": "PBE",
  "state": "optimized geometry",
  "magnetic_moment_mub_per_fu": 0.0,
  "space_group": "F-43m, No. 216",
  "e_form_raw_ev_per_atom": -0.461,
  "total_energy_ev_per_atom": -2.4898,
  "mass_density_g_cm3": 5.51,
  "cell": [[6.612, 0.000, 0.000], [0.000, 6.612, 0.000], [0.000, 0.000, 6.612]],
  "species": ["Cd", "Cd", "Cd", "Cd", "Te", "Te", "Te", "Te"],
  "frac_coords": [[0.000, 0.000, 0.000], [0.000, 0.500, 0.500], [0.500, 0.000, 0.500], [0.500, 0.500, 0.000], [0.250, 0.250, 0.750], [0.250, 0.750, 0.250], [0.750, 0.250, 0.250], [0.750, 0.750, 0.750]]
}

=====

What did we get for volume? Answer: 17.33, 36.14 A^3/atom, in the order shown.